# ScAgO3

A relaxed structure of ScAgO3 (PBE, OQMD).

```
ScAgO3
1.0
-3.3236 1.4928 -1.3295
0.6009 -1.7142 -3.4268
-2.2012 -3.6282 1.4290
O Sc Ag
3 1 1
direct
0.5000 0.0000 0.6849
0.0000 0.5000 0.6849
0.5000 0.5000 0.0808
0.0000 0.0000 0.8954
0.5000 0.5000 0.5540
```

Output
Energy   -5.904 eV/atom
Theoretical density   5.0 g/cm3

# ScAgO3

A relaxed structure of ScAgO3 (PBE, OQMD).

```
ScAgO3
1.0
-0.9059 2.2297 4.6953
4.8689 -2.0815 1.9279
3.7477 6.5535 -2.3891
Sc Ag O
4 4 12
direct
0.0000 0.5000 0.0000
0.5000 0.0000 0.5000
0.5000 0.0000 0.0000
0.0000 0.5000 0.5000
0.5207 0.5772 0.2500
0.9793 0.0772 0.2500
0.0207 0.9228 0.7500
0.4793 0.4228 0.7500
0.8093 0.8018 0.4207
0.1474 0.4248 0.2500
0.6907 0.3018 0.4207
0.8526 0.5752 0.7500
0.3093 0.6982 0.5793
0.6474 0.0752 0.7500
0.1907 0.1982 0.5793
0.8093 0.8018 0.0793
0.6907 0.3018 0.0793
0.3093 0.6982 0.9207
0.3526 0.9248 0.2500
0.1907 0.1982 0.9207
```

Output
Energy   -6.325 eV/atom
Theoretical density   5.7 g/cm3

# ScAgO2

A relaxed structure of ScAgO2 (PBE, OQMD).

```
ScAgO2
1.0
-0.3889 -2.4553 1.9233
0.3463 -0.4631 -3.0894
5.8995 -0.3726 0.7172
O Sc Ag
2 1 1
direct
0.6667 0.3333 0.8152
0.3333 0.6667 0.1848
0.0000 0.0000 0.0000
0.0000 0.0000 0.5000
```

Output
Energy   -6.872 eV/atom
Theoretical density   6.0 g/cm3

# ScAgO3

A relaxed structure of ScAgO3 (PBE, OQMD).

```
ScAgO3
1.0
2.7793 -1.6046 -4.5768
-2.7793 -1.6046 -4.5768
0.0000 3.2093 -4.5768
Ag Sc O
2 2 6
direct
0.7500 0.7500 0.7500
0.2500 0.2500 0.2500
0.0000 0.0000 0.0000
0.5000 0.5000 0.5000
0.8748 0.2500 0.6252
0.7500 0.3748 0.1252
0.2500 0.6252 0.8748
0.6252 0.8748 0.2500
0.1252 0.7500 0.3748
0.3748 0.1252 0.7500
```

Output
Energy   -6.234 eV/atom
Theoretical density   5.4 g/cm3

# ScAgO3

A relaxed structure of ScAgO3 (PBE, OQMD).

```
ScAgO3
1.0
2.8116 -1.6233 -4.3415
-2.8116 -1.6233 -4.3415
0.0000 3.2466 -4.3415
O Sc Ag
6 2 2
direct
0.3925 0.1075 0.7500
0.8925 0.2500 0.6075
0.7500 0.3925 0.1075
0.2500 0.6075 0.8925
0.6075 0.8925 0.2500
0.1075 0.7500 0.3925
0.7500 0.7500 0.7500
0.2500 0.2500 0.2500
0.0000 0.0000 0.0000
0.5000 0.5000 0.5000
```

Output
Energy   -6.238 eV/atom
Theoretical density   5.6 g/cm3

# ScAgO3

A relaxed structure of ScAgO3 (PBE, OQMD).

```
ScAgO3
1.0
-2.7316 4.7312 0.0000
2.7316 4.7312 0.0000
0.0000 3.1542 -4.7404
Sc O Ag
2 6 2
direct
0.3564 0.3564 0.9308
0.6436 0.6436 0.0692
0.4482 0.7421 0.7647
0.9550 0.5518 0.2353
0.7421 0.0450 0.7647
0.5518 0.2579 0.2353
0.2579 0.9550 0.2353
0.0450 0.4482 0.7647
0.8521 0.8521 0.4438
0.1479 0.1479 0.5562
```

Output
Energy   -6.344 eV/atom
Theoretical density   5.4 g/cm3

# ScAgO3

A relaxed structure of ScAgO3 (PBE, OQMD).

```
ScAgO3
1.0
5.1763 0.0000 0.0000
0.0000 5.5165 0.0000
0.0000 0.0000 8.0604
Sc O Ag
4 12 4
direct
0.0336 0.9228 0.7500
0.4664 0.4228 0.7500
0.5336 0.5772 0.2500
0.9664 0.0772 0.2500
0.1767 0.4059 0.2500
0.8233 0.5941 0.7500
0.6947 0.3091 0.4085
0.6947 0.3091 0.0915
0.3053 0.6909 0.9085
0.1947 0.1909 0.9085
0.1947 0.1909 0.5915
0.6767 0.0941 0.7500
0.3053 0.6909 0.5915
0.8053 0.8091 0.0915
0.8053 0.8091 0.4085
0.3233 0.9059 0.2500
0.5000 0.0000 0.0000
0.0000 0.5000 0.5000
0.0000 0.5000 0.0000
0.5000 0.0000 0.5000
```

Output
Energy   -6.366 eV/atom
Theoretical density   5.8 g/cm3

# ScAgO2

A relaxed structure of ScAgO2 (PBE, OQMD).

```
ScAgO2
1.0
-2.5087 -4.6321 2.7712
-0.8017 0.5423 5.8730
-1.1816 3.2813 -4.8235
Ag O Sc
2 4 2
direct
0.5000 0.5000 0.0000
0.2500 0.7500 0.5000
0.2057 0.2057 0.0000
0.7943 0.7943 0.0000
0.9557 0.4557 0.5000
0.5443 0.0443 0.5000
0.7500 0.2500 0.5000
0.0000 0.0000 0.0000
```

Output
Energy   -6.806 eV/atom
Theoretical density   6.2 g/cm3

# ScAgO3

A relaxed structure of ScAgO3 (PBE, OQMD).

```
ScAgO3
1.0
4.2024 0.0000 0.0000
0.0000 4.2024 0.0000
0.0000 0.0000 4.0651
O Sc Ag
3 1 1
direct
0.5000 0.5000 0.1334
0.5000 0.0000 0.6716
0.0000 0.5000 0.6716
0.5000 0.5000 0.6226
0.0000 0.0000 0.8008
```

Output
Energy   -6.224 eV/atom
Theoretical density   4.6 g/cm3

# Sc2AgO4

A relaxed structure of Sc2AgO4 (PBE, OQMD).

```
Sc2AgO4
1.0
-4.1353 -0.9867 4.7506
-0.5432 5.1825 -3.6727
-1.3639 -5.7528 -2.3847
O Sc Ag
8 4 2
direct
0.6084 0.2167 0.8251
0.5751 0.7167 0.8584
0.1417 0.2833 0.8584
0.1749 0.7833 0.3916
0.1416 0.7167 0.8583
0.6084 0.7833 0.3917
0.6083 0.2167 0.3916
0.1416 0.2833 0.4249
0.3750 0.7500 0.1250
0.8750 0.2500 0.6250
0.3750 0.7500 0.6250
0.3750 0.2500 0.6250
0.7500 0.5000 0.2500
0.0000 0.0000 0.0000
```

Output
Energy   -7.458 eV/atom
Theoretical density   4.7 g/cm3

# ScAgSeO

A relaxed structure of ScAgSeO (PBE, OQMD).

```
ScAgSeO
1.0
-5.1049 3.7936 -2.6835
-3.0335 -5.7341 -2.3356
-2.0257 -1.2085 5.5978
O Se Ag Sc
4 4 4 4
direct
0.4201 0.8500 0.3800
0.5799 0.3500 0.1200
0.4201 0.6500 0.8800
0.5799 0.1500 0.6200
0.2147 0.4430 0.3532
0.7853 0.9430 0.1468
0.7853 0.5570 0.6468
0.2147 0.0570 0.8532
0.0560 0.7068 0.9896
0.0560 0.7932 0.4896
0.9440 0.2932 0.0104
0.9440 0.2068 0.5104
0.5320 0.6321 0.2126
0.4680 0.3679 0.7874
0.4680 0.1321 0.2874
0.5320 0.8679 0.7126
```

Output
Energy   -6.113 eV/atom
Theoretical density   5.8 g/cm3

# ScAgSeO

A relaxed structure of ScAgSeO (PBE, OQMD).

```
ScAgSeO
1.0
-2.7226 3.5536 -3.1854
-1.9630 -4.1782 -2.9834
-8.3431 -0.8583 6.6915
Sc O Ag Se
4 4 4 4
direct
0.5037 0.3240 0.0846
0.9971 0.3226 0.9151
0.0029 0.8226 0.0849
0.4963 0.8240 0.9154
0.7540 0.5713 0.9978
0.2460 0.0713 0.0022
0.2515 0.5724 0.9997
0.7485 0.0724 0.0003
0.9989 0.8387 0.7104
0.6879 0.5955 0.4963
0.3121 0.0955 0.5037
0.0011 0.3387 0.2896
0.3122 0.0320 0.2740
0.6878 0.5320 0.7260
0.6874 0.6434 0.2654
0.3126 0.1434 0.7346
```

Output
Energy   -6.145 eV/atom
Theoretical density   5.1 g/cm3

# ScAgSeO

A relaxed structure of ScAgSeO (PBE, OQMD).

```
ScAgSeO
1.0
-2.5100 1.2811 -3.0571
2.0867 -5.4439 -3.9945
-4.3125 -3.2513 2.1783
O Sc Ag Se
2 2 2 2
direct
0.5000 0.9007 0.6919
0.5000 0.0993 0.1919
0.5000 0.1382 0.5220
0.5000 0.8618 0.0220
0.0000 0.2893 0.1185
0.0000 0.7107 0.6185
0.0000 0.6693 0.1587
0.0000 0.3307 0.6587
```

Output
Energy   -5.969 eV/atom
Theoretical density   4.8 g/cm3

# ScAgSnO3

A relaxed structure of ScAgSnO3 (PBE, OQMD).

```
ScAgSnO3
1.0
6.9684 2.2714 3.5494
-7.8843 0.1544 -2.0325
-1.6045 -4.2938 5.8978
O Ag Sc Sn
6 2 2 2
direct
0.2638 0.7362 0.2500
0.8804 0.1196 0.5769
0.1196 0.8804 0.4231
0.7362 0.2638 0.7500
0.8804 0.1196 0.9231
0.1196 0.8804 0.0769
0.4018 0.5982 0.2500
0.5982 0.4018 0.7500
0.0000 0.0000 0.5000
0.0000 0.0000 0.0000
0.6764 0.3236 0.2500
0.3236 0.6764 0.7500
```

Output
Energy   -5.922 eV/atom
Theoretical density   5.9 g/cm3

# TbScAg2O4

A relaxed structure of TbScAg2O4 (PBE, OQMD).

```
TbScAg2O4
1.0
-0.8223 0.0558 -3.2397
-2.0280 -1.4695 2.2141
-5.9976 10.8527 1.7091
O Tb Ag Sc
4 1 2 1
direct
0.3333 0.6667 0.0773
0.3333 0.6667 0.4087
0.6667 0.3333 0.5913
0.6667 0.3333 0.9227
0.0000 0.0000 0.5000
0.6667 0.3333 0.7570
0.3333 0.6667 0.2430
0.0000 0.0000 0.0000
```

Output
Energy   -6.778 eV/atom
Theoretical density   6.6 g/cm3

# SmAgSeO

A relaxed structure of SmAgSeO (PBE, OQMD).

```
SmAgSeO
1.0
-0.7536 -2.5504 -3.3503
4.9702 1.6305 -2.3591
3.1157 -5.0021 3.1070
Sm Ag O Se
2 2 2 2
direct
0.5000 0.7512 0.9652
0.5000 0.2488 0.4652
0.0000 0.8321 0.5926
0.0000 0.1679 0.0926
0.5000 0.0458 0.1793
0.5000 0.9542 0.6793
0.0000 0.4003 0.7540
0.0000 0.5997 0.2540
```

Output
Energy   -5.541 eV/atom
Theoretical density   7.2 g/cm3

# SmAgSeO

A relaxed structure of SmAgSeO (PBE, OQMD).

```
SmAgSeO
1.0
-0.2151 -1.8524 -6.1552
-7.2283 -1.6477 0.7485
-1.5279 6.4917 -0.4644
Se Sm Ag O
4 4 4 4
direct
0.1723 0.4557 0.3225
0.1723 0.0443 0.8225
0.8277 0.9557 0.1775
0.8277 0.5443 0.6775
0.5858 0.8838 0.7311
0.5858 0.6162 0.2311
0.4142 0.1162 0.2689
0.4142 0.3838 0.7689
0.0658 0.7089 0.0032
0.9342 0.2911 0.9968
0.9342 0.2089 0.4968
0.0658 0.7911 0.5032
0.4374 0.8310 0.4046
0.5626 0.1690 0.5954
0.5626 0.3310 0.0954
0.4374 0.6690 0.9046
```

Output
Energy   -5.715 eV/atom
Theoretical density   7.5 g/cm3

# SmAgSeO

A relaxed structure of SmAgSeO (PBE, OQMD).

```
SmAgSeO
1.0
5.8239 0.0000 -0.0153
0.0000 5.8272 0.0000
-0.4535 0.0000 11.3459
Sm Ag O Se
4 4 4 4
direct
0.5065 0.3194 0.0959
0.9927 0.3199 0.9035
0.0073 0.8199 0.0965
0.4935 0.8194 0.9041
0.3085 0.0963 0.5037
0.0014 0.8418 0.7057
0.6915 0.5964 0.4963
0.9986 0.3418 0.2943
0.7520 0.5680 0.9992
0.2480 0.0680 0.0008
0.7498 0.0687 0.0002
0.2502 0.5687 0.9998
0.3033 0.1419 0.7198
0.2990 0.0440 0.2879
0.6967 0.6419 0.2802
0.7010 0.5440 0.7121
```

Output
Energy   -5.836 eV/atom
Theoretical density   6.1 g/cm3

# AgSnSeO

A relaxed structure of AgSnSeO (PBE, OQMD).

```
AgSnSeO
1.0
5.3441 0.0000 0.0000
0.0000 5.3441 0.0000
0.0000 0.0000 6.7000
Ag O Sn Se
2 2 2 2
direct
0.2500 0.2500 0.7684
0.7500 0.7500 0.2316
0.7500 0.7500 0.9220
0.2500 0.2500 0.0780
0.2500 0.2500 0.3590
0.7500 0.7500 0.6410
0.2500 0.7500 0.5000
0.7500 0.2500 0.5000
```

Output
Energy above the most stable polymorph in this dataset   340 meV/atom
Theoretical density   5.6 g/cm3

# AgSnSeO

A relaxed structure of AgSnSeO (PBE, OQMD).

```
AgSnSeO
1.0
6.3916 0.0000 0.0000
0.0000 3.9169 0.0000
0.0000 0.0000 13.5929
Sn Se O Ag
4 4 4 4
direct
0.6045 0.2500 0.1676
0.1045 0.2500 0.3324
0.8955 0.7500 0.6676
0.3955 0.7500 0.8324
0.2287 0.2500 0.9499
0.2713 0.7500 0.4499
0.7713 0.7500 0.0501
0.7287 0.2500 0.5501
0.7201 0.7500 0.7964
0.2201 0.7500 0.7036
0.2799 0.2500 0.2036
0.7799 0.2500 0.2964
0.3303 0.2500 0.6040
0.1697 0.7500 0.1040
0.8303 0.2500 0.8960
0.6697 0.7500 0.3960
```

Output
Energy above the most stable polymorph in this dataset   68 meV/atom
Theoretical density   6.3 g/cm3